This record from the Alexandria database describes a geometry-optimized KFe4F12 structure. The functional is PBE+U.

Cell and atoms, written as POSCAR:
```
KFe4F12
1.0
-3.975 3.975 3.975
3.975 -3.975 3.975
3.975 3.975 -3.975
K Fe F
1 4 12
direct
0.000 0.000 0.000
0.000 0.000 0.500
0.000 0.500 0.000
0.500 0.000 0.000
0.500 0.500 0.500
0.009 0.758 0.251
0.242 0.251 0.493
0.242 0.749 0.991
0.251 0.009 0.758
0.251 0.493 0.242
0.493 0.242 0.251
0.507 0.758 0.749
0.749 0.507 0.758
0.749 0.991 0.242
0.758 0.251 0.009
0.758 0.749 0.507
0.991 0.242 0.749
```

## Properties
**Calculated volume**: 14.78 Å³/atom
**Total moment**: 19.00 μB per cell
**DOS at the Fermi energy**: 3.41 states/eV/cell
**VASP energy**: -5.202 eV per atom